(1)
VASP calculation (PBE) on an optimized crystal structure of Dy8Te4S3N.

Computed properties:
Magnetic moment ... 0.00 μB/f.u.
Uncorrected formation energy ... -152.84 kJ per mole of atoms
Space-group type ... R-3m
Fermi-level density of states ... 5.0 states/eV/cell

Geometry as CIF:
```
data_Dy8Te4S3N
_chemical_formula_sum 'Dy8 Te4 S3 N1'
_symmetry_space_group_name_H-M 'P 1'
_symmetry_Int_Tables_number 1
_symmetry_space_group_name_Hall 'P 1'
_cell_length_a 8.0132
_cell_length_b 8.3267
_cell_length_c 8.0136
_cell_angle_alpha 118.76
_cell_angle_beta 120.00
_cell_angle_gamma 90.00
loop_
_atom_site_label
_atom_site_fract_x
_atom_site_fract_y
_atom_site_fract_z
Dy1 0.2186 0.6939 0.9753
Dy2 0.2186 0.6939 0.4372
Dy3 0.2655 0.2964 0.5309
Dy4 0.7567 0.6939 0.9753
Dy5 0.2433 0.3061 0.0247
Dy6 0.7345 0.7036 0.4691
Dy7 0.7814 0.3061 0.5628
Dy8 0.7814 0.3061 0.0247
Te1 0.5000 0.0000 0.0000
Te2 0.5000 0.0000 0.5000
Te3 0.0000 0.0000 0.0000
Te4 0.0000 0.0000 0.5000
S1 0.5000 0.5000 0.0000
S2 0.5000 0.5000 0.5000
S3 0.0000 0.5000 0.5000
N1 0.0000 0.5000 0.0000
```

=====

(2)
VASP calculation (PBE) on an optimized crystal structure of Dy4Te2SN2.

Computed properties:
Magnetic moment ... 0.00 μB/f.u.
Uncorrected formation energy ... -160.78 kJ per mole of atoms
Space-group type ... C2/m
Fermi-level density of states ... 0.3 states/eV/cell

Geometry as CIF:
```
data_Dy4Te2SN2
_chemical_formula_sum 'Dy4 Te2 S1 N2'
_symmetry_space_group_name_H-M 'P 1'
_symmetry_Int_Tables_number 1
_symmetry_space_group_name_Hall 'P 1'
_cell_length_a 3.9797
_cell_length_b 7.8844
_cell_length_c 7.2373
_cell_angle_alpha 106.31
_cell_angle_beta 90.00
_cell_angle_gamma 104.62
loop_
_atom_site_label
_atom_site_fract_x
_atom_site_fract_y
_atom_site_fract_z
Dy1 0.7905 0.5810 0.8510
Dy2 0.2095 0.4190 0.1490
Dy3 0.4548 0.9097 0.2255
Dy4 0.5452 0.0903 0.7745
Te1 0.8676 0.7352 0.4642
Te2 0.1324 0.2648 0.5358
S1 0.0000 0.0000 0.0000
N1 0.3255 0.6510 0.0127
N2 0.6745 0.3490 0.9873
```